Density functional theory data (GGA-PBE) for a relaxed KRbHg3 crystal.

- Energy relative to the elements: 0.047 eV/atom
- Polymorph energy (0 for the lowest one): 294.2 meV/atom

Cell and atoms, written as POSCAR:
```
KRbHg3
1.0
6.549 0.000 0.000
0.000 6.549 0.000
0.000 0.000 6.549
Rb K Hg
1 1 3
Cartesian
0.000 0.000 0.000
3.274 3.274 3.274
3.274 0.000 0.000
0.000 0.000 3.274
0.000 3.274 0.000
```

Density functional theory data (GGA-PBE) for a relaxed NaSc2NbS crystal.

- Formation energy without anion corrections: 0.2676 eV per atom

Cell and atoms, written as POSCAR:
```
NaSc2NbS
1.0
-2.762 1.808 4.101
-2.724 -3.946 -0.095
3.338 -2.384 3.299
Nb Na Sc S
1 1 2 1
Cartesian
0.000 0.000 0.000
-1.074 -2.261 3.652
-1.381 0.904 2.050
1.669 -1.192 1.650
-1.362 -1.973 -0.048
```

Density functional theory data (GGA-PBE) for a relaxed AlCo2Ir2 crystal.

- Energy relative to the elements: 0.070 eV/atom
- Polymorph energy (0 for the lowest one): 39.5 meV/atom

Cell and atoms, written as POSCAR:
```
AlCo2Ir2
1.0
-5.414 3.755 -2.613
-3.767 -5.957 -0.756
-1.019 0.319 2.569
Al Ir Co
2 4 4
Cartesian
-4.590 -1.101 -1.684
0.000 0.000 0.000
-7.078 -0.515 -2.744
-5.253 -3.786 -1.614
-2.102 -1.687 -0.625
-3.928 1.585 -1.755
-3.913 -3.184 0.349
-7.256 -2.312 -1.085
-6.287 1.300 -1.149
-2.944 0.429 0.286
```

Please write out number 1 again, unchanged.
Density functional theory data (GGA-PBE) for a relaxed KRbHg3 crystal.

- Energy relative to the elements: 0.047 eV/atom
- Polymorph energy (0 for the lowest one): 294.2 meV/atom

Cell and atoms, written as POSCAR:
```
KRbHg3
1.0
6.549 0.000 0.000
0.000 6.549 0.000
0.000 0.000 6.549
Rb K Hg
1 1 3
Cartesian
0.000 0.000 0.000
3.274 3.274 3.274
3.274 0.000 0.000
0.000 0.000 3.274
0.000 3.274 0.000
```